Entry from Alexandria: a geometry-optimized Ba2Cd12GaAg3 structure (PBE).

E	-1.5022	eV per atom
formation energy from the elements	-0.04	eV per atom

Cell and atoms, written as CIF:
```
data_Ba2Cd12GaAg3
_chemical_formula_sum 'Ba6 Cd36 Ga3 Ag9'
_cell_length_a 6.1555
_cell_length_b 6.1555
_cell_length_c 43.3952
_cell_angle_alpha 90.00
_cell_angle_beta 90.00
_cell_angle_gamma 120.00
_symmetry_space_group_name_H-M 'R -3 m'
_symmetry_Int_Tables_number 166
_symmetry_space_group_name_Hall '-R 3 2"'
loop_
_atom_site_label
_atom_site_type_symbol
_atom_site_fract_x
_atom_site_fract_y
_atom_site_fract_z
Ba1 Ba 0.0000 0.0000 0.1479
Cd1 Cd 0.0025 0.5012 0.1080
Cd2 Cd 0.0140 0.5070 0.6153
Ga1 Ga 0.0000 0.0000 0.5000
Ag1 Ag 0.0000 0.5000 0.0000
```